Material: Ce3Zn9Cd2
Method: DFT, PBE-GGA
State: optimized geometry

Lattice parameters (Å, degrees): 4.5587 8.4525 8.4525 62.97 74.36 74.36
With the nearest neighbours (Å) after each atom.
Atoms (fractional coordinates):
Zn 0.1456 0.1378 0.5710  4 Zn 2.62-2.76
Zn 0.1456 0.5710 0.1378  4 Zn 2.62-2.76
Zn 0.3381 0.0221 0.3016  4 Zn 2.47-2.72, 1 Cd 2.71
Zn 0.3381 0.3016 0.0221  4 Zn 2.47-2.72, 1 Cd 2.71
Zn 0.6619 0.9779 0.6984  4 Zn 2.47-2.72, 1 Cd 2.71
Zn 0.6619 0.6984 0.9779  4 Zn 2.47-2.72, 1 Cd 2.71
Zn 0.0000 0.5000 0.5000  4 Zn 2.76, 4 Cd 2.80
Zn 0.8544 0.8622 0.4290  4 Zn 2.62-2.76
Zn 0.8544 0.4290 0.8622  4 Zn 2.62-2.76
Ce 0.0000 0.0000 0.0000  12 Zn 3.20-3.41
Ce 0.7102 0.2898 0.2898  12 Zn 3.10-3.25, 2 Cd 3.30
Ce 0.2898 0.7102 0.7102  12 Zn 3.10-3.25, 2 Cd 3.30
Cd 0.5000 0.3160 0.6840  4 Zn 2.71-2.80
Cd 0.5000 0.6840 0.3160  4 Zn 2.71-2.80

The space group is Immm. The calculated formation energy comes out at -3.65 eV per formula unit.

=====

Material: Ce2Zn2Cd3
Method: DFT, PBE-GGA
State: optimized geometry

Lattice parameters (Å, degrees): 4.7524 7.0312 10.4207 90.00 103.18 90.00
With the nearest neighbours (Å) after each atom.
Atoms (fractional coordinates):
Cd 0.2158 0.7500 0.4317  6 Zn 2.77-2.88
Cd 0.5671 0.4464 0.1343  1 Zn 2.64, 2 Cd 2.76-2.83
Cd 0.5671 0.0536 0.1343  1 Zn 2.64, 2 Cd 2.76-2.83
Cd 0.4329 0.5536 0.8657  1 Zn 2.64, 2 Cd 2.76-2.83
Cd 0.4329 0.9464 0.8657  1 Zn 2.64, 2 Cd 2.76-2.83
Cd 0.7842 0.2500 0.5683  6 Zn 2.77-2.88
Ce 0.1671 0.2500 0.3343  6 Zn 3.17-3.26, 6 Cd 3.36-3.42
Ce 0.9593 0.2500 0.9186  9 Cd 3.24-3.55
Ce 0.0407 0.7500 0.0814  9 Cd 3.24-3.55
Ce 0.8329 0.7500 0.6657  6 Zn 3.17-3.26, 6 Cd 3.36-3.42
Zn 0.3088 0.4401 0.6176  4 Cd 2.64-2.88, 1 Zn 2.67
Zn 0.3088 0.0599 0.6176  4 Cd 2.64-2.88, 1 Zn 2.67
Zn 0.6912 0.5599 0.3824  4 Cd 2.64-2.88, 1 Zn 2.67
Zn 0.6912 0.9401 0.3824  4 Cd 2.64-2.88, 1 Zn 2.67

The space group is Cmcm. The calculated formation energy comes out at -0.82 eV per formula unit. The calculation puts the distance to the lowest polymorph of the same formula at 56 meV per atom.

=====

Number 1: VASP energy -34.7 eV per formula unit, magnetization 0.140 μB per atom. Number 2: VASP energy -18.0 eV per formula unit, magnetization 0.331 μB per atom.